1.
# K2NaGe3Pt4

A relaxed K2NaGe3Pt4 crystal (PBE, Alexandria via LeMat-Bulk).

Cell: 4.430 4.430 10.644 Å, 90.00 90.00 90.00°
Sites, in units of the cell vectors:
K1 0.500 0.000 0.252
K2 0.000 0.500 0.748
Na1 0.500 0.500 0.500
Ge1 0.000 0.000 0.500
Ge2 0.500 0.000 0.880
Ge3 0.000 0.500 0.120
Pt1 0.500 0.500 0.000
Pt2 0.000 0.000 0.000
Pt3 0.500 0.000 0.644
Pt4 0.000 0.500 0.356

2.
# KNa2GePt2

A relaxed KNa2GePt2 crystal (PBE, Alexandria via LeMat-Bulk).

Cell: 4.916 4.916 6.650 Å, 90.00 90.00 90.00°
Sites, in units of the cell vectors:
K1 0.000 0.000 0.500
Na1 0.500 0.500 0.773
Na2 0.500 0.500 0.227
Ge1 0.000 0.000 0.000
Pt1 0.500 0.000 0.000
Pt2 0.000 0.500 0.000

3.
# K2RbNaGe

A relaxed K2RbNaGe crystal (PBE, Alexandria via LeMat-Bulk).

energy above the lowest structure with this stoichiometry = 104.5 meV per atom

Cell: 6.636 6.931 6.636 Å, 90.00 90.00 90.00°
Last column: magnetic moment on the atom in μB.
Sites, in units of the cell vectors:
Na1 0.500 0.500 0.500  0.04
Ge1 0.000 0.000 0.000  0.56
K1 0.000 0.000 0.500  0.02
K2 0.500 0.000 0.000  0.02
Rb1 0.000 0.500 0.000  0.03

Calculated formation energy: -374 -210 189 (meV/atom)